Record 1
Compound: DyCuGeTeS2
Source: the Open Quantum Materials Database
Functional: PBE
Structure: optimized geometry

Values from the calculation:
Total DFT energy (no corrections), eV/atom: -4.848
Spin magnetization, μB per cell: 0.00
SG: Cmcm

The structure in extended XYZ format:
```
12
Lattice="1.947 -6.562 0.000 1.947 6.562 0.000 0.000 0.000 10.863" Properties=species:S:1:pos:R:3 pbc="T T T"
S 1.947 -4.854 0.882
Te 1.947 -1.515 2.716
Cu 1.947 -6.272 2.716
S 1.947 -4.854 4.550
Te 1.947 1.515 8.147
S 1.947 4.854 9.981
Dy 1.947 0.000 0.000
S 1.947 4.854 6.313
Ge 1.947 -2.581 8.147
Dy 1.947 0.000 5.431
Cu 1.947 6.272 8.147
Ge 1.947 2.581 2.716
```

---

Record 2
Compound: DyCuGeTe2S
Source: the Open Quantum Materials Database
Functional: PBE
Structure: optimized geometry

Values from the calculation:
Total DFT energy (no corrections), eV/atom: -4.535
Spin magnetization, μB per cell: 0.00
SG: Cmcm

The structure in extended XYZ format:
```
12
Lattice="2.019 -7.282 0.000 2.019 7.282 0.000 0.000 0.000 10.147" Properties=species:S:1:pos:R:3 pbc="T T T"
Te 2.019 -5.042 5.732
Cu 2.019 7.022 2.537
Dy 2.019 0.000 0.000
S 2.019 0.951 2.537
Te 2.019 -5.042 9.488
Te 2.019 5.042 4.415
Te 2.019 5.042 0.658
Ge 2.019 -3.404 2.537
S 2.019 -0.951 7.610
Cu 2.019 -7.022 7.610
Dy 2.019 0.000 5.073
Ge 2.019 3.404 7.610
```